Record 1
The following is a PBE-GGA calculation of crystalline TeRuOF2 at its relaxed geometry, from the Alexandria database.

abc: 4.607 4.607 3.649
angles: 90.00 90.00 90.00
Positions (direct):
Ru 0.000 0.000 0.000
Te 0.500 0.500 0.500
O 0.000 0.000 0.500
F 0.000 0.500 0.000
F 0.500 0.000 0.000

energy relative to the elements, uncorrected	-546	meV per atom



Record 2
The following is a PBE-GGA calculation of crystalline TeRu2OF at its relaxed geometry, from the Alexandria database.

abc: 4.066 4.539 4.066
angles: 90.00 90.00 90.00
Positions (direct):
Ru 0.000 0.000 0.500
Ru 0.500 0.000 0.000
Te 0.500 0.500 0.500
O 0.000 0.500 0.000
F 0.000 0.000 0.000

energy relative to the elements, uncorrected	771	meV per atom